A plane-wave DFT calculation with PBE-GGA was carried out for LiUPH8O10 after structural relaxation.

Geometry as CIF:
```
data_LiUPH8O10
_chemical_formula_sum 'Li2 U2 P2 H16 O20'
_symmetry_space_group_name_H-M 'P 4/n'
_symmetry_Int_Tables_number 85
_cell_length_a 6.963
_cell_length_b 6.963
_cell_length_c 9.277
_cell_angle_alpha 90.00
_cell_angle_beta 90.00
_cell_angle_gamma 90.00
loop_
_symmetry_equiv_pos_as_xyz
'x,y,z'
'-x,-y,-z'
'-y+1/2,x,z'
'y+1/2,-x,-z'
'-x+1/2,-y+1/2,z'
'x+1/2,y+1/2,-z'
'y,-x+1/2,z'
'-y,x+1/2,-z'
loop_
_atom_site_label
_atom_site_fract_x
_atom_site_fract_y
_atom_site_fract_z
Li1 0.250 0.750 0.000
U1 0.250 0.250 0.400
P1 0.250 0.750 0.500
H1 0.079 0.669 0.231
H2 0.081 0.393 0.877
O1 0.030 0.697 0.133
O2 0.079 0.800 0.601
O3 0.250 0.250 0.204
O4 0.250 0.250 0.595
```

## Properties
spin magnetization: 0.00 μB per atom
calculated total energy: -263.82 eV per cell